# Ti2AlZn2Cu2

A geometry-optimized Ti2AlZn2Cu2 structure (PBE-GGA, Alexandria).

It has space group R-3m (No. 166, hexagonal axes), with a = 4.3116 Å, b = 4.3116 Å, c = 19.0825 Å, α = 90.00°, β = 90.00° and γ = 120.00°. The distinct sites, in fractional coordinates, are Ti at (0.0000, 0.0000, 0.2153), Al at (0.0000, 0.0000, 0.5000), Zn at (0.0000, 0.0000, 0.3615) and Cu at (0.0000, 0.0000, 0.0670).

The energy relative to the elements comes out at -0.10 eV/atom.


# PuNpB4

A geometry-optimized PuNpB4 structure (PBE-GGA, Alexandria).

It has space group Pbam (No. 55), with a = 5.9902 Å, b = 11.5534 Å, c = 4.0349 Å, α = 90.00°, β = 90.00° and γ = 90.00°. The distinct sites, in fractional coordinates, are Pu at (0.1160, 0.1571, 0.0000), Np at (0.1240, 0.4201, 0.0000), B at (0.0226, 0.6951, 0.5000), B at (0.1253, 0.5527, 0.5000), B at (0.1302, 0.9693, 0.5000) and B at (0.2063, 0.8126, 0.5000).

The energy relative to the elements comes out at -0.23 eV/atom.


# TbPr6Er5

A geometry-optimized TbPr6Er5 structure (PBE-GGA, Alexandria).

It has space group Immm (No. 71), with a = 5.1596 Å, b = 10.0649 Å, c = 15.4157 Å, α = 90.00°, β = 90.00° and γ = 90.00°. The distinct sites, in fractional coordinates, are Tb at (0.0000, 0.0000, 0.0000), Pr at (0.0000, 0.2492, 0.5000), Pr at (0.0000, 0.2504, 0.1667), Er at (0.0000, 0.0000, 0.3333), Er at (0.0000, 0.5000, 0.0000) and Er at (0.0000, 0.5000, 0.3331).

The energy relative to the elements comes out at 0.02 eV/atom.


# Cd2BTe

A geometry-optimized Cd2BTe structure (PBE-GGA, Alexandria).

It has space group Fm-3m (No. 225), with a = 7.0632 Å, b = 7.0632 Å, c = 7.0632 Å, α = 90.00°, β = 90.00° and γ = 90.00°. The distinct sites, in fractional coordinates, are Cd at (0.2500, 0.2500, 0.2500), B at (0.0000, 0.0000, 0.0000) and Te at (0.0000, 0.0000, 0.5000).

For the uncorrected formation energy, the calculation gives 1.015 eV/atom.


# In3BiPb3

A geometry-optimized In3BiPb3 structure (PBE-GGA, Alexandria).

It has space group R-3 (No. 148, hexagonal axes), with a = 8.6127 Å, b = 8.6127 Å, c = 20.6803 Å, α = 90.00°, β = 90.00° and γ = 120.00°. The distinct sites, in fractional coordinates, are In at (0.0302, 0.2610, 0.2011), Bi at (0.0000, 0.0000, 0.0792) and Pb at (0.0423, 0.7915, 0.6310).

The energy relative to the elements comes out at 0.08 eV/atom.


We obtain calculated volume values of 14.629 11.635 33.356 22.024 31.632 Å³ per atom for the records listed above, in that order.
We obtain total DFT energy (no corrections) values of -4.427 -9.227 -4.659 -1.898 -3.241 eV per atom for the records listed above, in that order.
We obtain N(E_F) values of 5.19 8.22 16.09 2.70 3.76 states/eV/f.u. for the records listed above, in that order.